# PBE Dy2Y5ErTh, optimized geometry
data_Dy2Y5ErTh
_space_group_name_H-M_alt 'P 1'
_space_group_IT_number 1
_space_group_name_Hall 'P 1'
_cell_length_a 11.160
_cell_length_b 11.160
_cell_length_c 9.716
_cell_angle_alpha 90.00
_cell_angle_beta 90.00
_cell_angle_gamma 150.37
loop_
_atom_site_label
_atom_site_type_symbol
_atom_site_fract_x
_atom_site_fract_y
_atom_site_fract_z
_atom_site_occupancy
Dy1 Dy 0.115 0.885 0.500 1
Dy2 Dy 0.129 0.871 0.885 1
Dy3 Dy 0.871 0.129 0.385 1
Dy4 Dy 0.885 0.115 0.000 1
Y1 Y 0.014 0.986 0.187 1
Y2 Y 0.270 0.730 0.501 1
Y3 Y 0.304 0.696 0.888 1
Y4 Y 0.394 0.606 0.214 1
Y5 Y 0.470 0.530 0.915 1
Y6 Y 0.530 0.470 0.415 1
Y7 Y 0.606 0.394 0.714 1
Y8 Y 0.696 0.304 0.388 1
Y9 Y 0.730 0.270 0.001 1
Y10 Y 0.986 0.014 0.687 1
Er1 Er 0.189 0.811 0.190 1
Er2 Er 0.811 0.189 0.690 1
Th1 Th 0.403 0.597 0.595 1
Th2 Th 0.597 0.403 0.095 1
# DOS(E_F) ... 1.53 states/eV/atom
# E_form ... 3.74 kcal/mol of atoms

# PBE DyY3Er6Th2, optimized geometry
data_DyY3Er6Th2
_space_group_name_H-M_alt 'P 1'
_space_group_IT_number 1
_space_group_name_Hall 'P 1'
_cell_length_a 6.138
_cell_length_b 6.138
_cell_length_c 11.710
_cell_angle_alpha 95.02
_cell_angle_beta 95.02
_cell_angle_gamma 119.96
loop_
_atom_site_label
_atom_site_type_symbol
_atom_site_fract_x
_atom_site_fract_y
_atom_site_fract_z
_atom_site_occupancy
Dy1 Dy 0.000 0.000 0.000 1
Y1 Y 0.166 0.834 0.500 1
Y2 Y 0.500 0.500 0.500 1
Y3 Y 0.834 0.166 0.500 1
Er1 Er 0.083 0.420 0.247 1
Er2 Er 0.254 0.254 0.753 1
Er3 Er 0.420 0.083 0.247 1
Er4 Er 0.580 0.917 0.753 1
Er5 Er 0.746 0.746 0.247 1
Er6 Er 0.917 0.580 0.753 1
Th1 Th 0.333 0.667 0.000 1
Th2 Th 0.667 0.333 0.000 1
# DOS(E_F) ... 1.43 states/eV/atom
# E_form ... 0.58 kcal/mol of atoms

# PBE DyY5Er2Th, optimized geometry
data_DyY5Er2Th
_space_group_name_H-M_alt 'P 1'
_space_group_IT_number 1
_space_group_name_Hall 'P 1'
_cell_length_a 11.052
_cell_length_b 11.052
_cell_length_c 9.689
_cell_angle_alpha 90.00
_cell_angle_beta 90.00
_cell_angle_gamma 149.97
loop_
_atom_site_label
_atom_site_type_symbol
_atom_site_fract_x
_atom_site_fract_y
_atom_site_fract_z
_atom_site_occupancy
Dy1 Dy 0.097 0.903 0.500 1
Dy2 Dy 0.903 0.097 0.000 1
Y1 Y 0.028 0.972 0.818 1
Y2 Y 0.110 0.890 0.113 1
Y3 Y 0.195 0.805 0.784 1
Y4 Y 0.233 0.767 0.408 1
Y5 Y 0.486 0.514 0.086 1
Y6 Y 0.514 0.486 0.586 1
Y7 Y 0.767 0.233 0.908 1
Y8 Y 0.805 0.195 0.284 1
Y9 Y 0.890 0.110 0.613 1
Y10 Y 0.972 0.028 0.318 1
Er1 Er 0.370 0.630 0.783 1
Er2 Er 0.388 0.612 0.395 1
Er3 Er 0.612 0.388 0.895 1
Er4 Er 0.630 0.370 0.283 1
Th1 Th 0.312 0.688 0.095 1
Th2 Th 0.688 0.312 0.595 1
# DOS(E_F) ... 1.42 states/eV/atom
# E_form ... 3.65 kcal/mol of atoms

# PBE Dy5Y2ErTh, optimized geometry
data_Dy5Y2ErTh
_space_group_name_H-M_alt 'P 1'
_space_group_IT_number 1
_space_group_name_Hall 'P 1'
_cell_length_a 11.094
_cell_length_b 11.094
_cell_length_c 9.714
_cell_angle_alpha 90.00
_cell_angle_beta 90.00
_cell_angle_gamma 150.25
loop_
_atom_site_label
_atom_site_type_symbol
_atom_site_fract_x
_atom_site_fract_y
_atom_site_fract_z
_atom_site_occupancy
Dy1 Dy 0.015 0.985 0.500 1
Dy2 Dy 0.272 0.728 0.806 1
Dy3 Dy 0.304 0.696 0.198 1
Dy4 Dy 0.399 0.601 0.524 1
Dy5 Dy 0.469 0.531 0.225 1
Dy6 Dy 0.531 0.469 0.725 1
Dy7 Dy 0.601 0.399 0.024 1
Dy8 Dy 0.696 0.304 0.698 1
Dy9 Dy 0.728 0.272 0.306 1
Dy10 Dy 0.985 0.015 0.000 1
Y1 Y 0.115 0.885 0.811 1
Y2 Y 0.128 0.872 0.195 1
Y3 Y 0.872 0.128 0.695 1
Y4 Y 0.885 0.115 0.311 1
Er1 Er 0.190 0.810 0.499 1
Er2 Er 0.810 0.190 0.999 1
Th1 Th 0.405 0.595 0.907 1
Th2 Th 0.595 0.405 0.407 1
# DOS(E_F) ... 1.42 states/eV/atom
# E_form ... 3.73 kcal/mol of atoms

# PBE DyY2ErTh, optimized geometry
data_DyY2ErTh
_space_group_name_H-M_alt 'P 1'
_space_group_IT_number 1
_space_group_name_Hall 'P 1'
_cell_length_a 8.533
_cell_length_b 6.342
_cell_length_c 6.280
_cell_angle_alpha 90.00
_cell_angle_beta 95.79
_cell_angle_gamma 90.00
loop_
_atom_site_label
_atom_site_type_symbol
_atom_site_fract_x
_atom_site_fract_y
_atom_site_fract_z
_atom_site_occupancy
Dy1 Dy 0.000 0.000 0.000 1
Dy2 Dy 0.000 0.000 0.500 1
Y1 Y 0.312 0.300 0.220 1
Y2 Y 0.312 0.700 0.720 1
Y3 Y 0.688 0.300 0.280 1
Y4 Y 0.688 0.700 0.780 1
Er1 Er 0.500 0.182 0.750 1
Er2 Er 0.500 0.818 0.250 1
Th1 Th 0.000 0.446 0.750 1
Th2 Th 0.000 0.554 0.250 1
# DOS(E_F) ... 1.28 states/eV/atom
# E_form ... 7.81 kcal/mol of atoms

# PBE DyYEr3Th, optimized geometry
data_DyYEr3Th
_space_group_name_H-M_alt 'P 1'
_space_group_IT_number 1
_space_group_name_Hall 'P 1'
_cell_length_a 10.590
_cell_length_b 3.549
_cell_length_c 10.592
_cell_angle_alpha 90.00
_cell_angle_beta 109.22
_cell_angle_gamma 90.00
loop_
_atom_site_label
_atom_site_type_symbol
_atom_site_fract_x
_atom_site_fract_y
_atom_site_fract_z
_atom_site_occupancy
Dy1 Dy 0.128 0.250 0.126 1
Dy2 Dy 0.872 0.750 0.874 1
Y1 Y 0.126 0.250 0.791 1
Y2 Y 0.874 0.750 0.209 1
Er1 Er 0.128 0.250 0.459 1
Er2 Er 0.376 0.750 0.043 1
Er3 Er 0.379 0.750 0.707 1
Er4 Er 0.621 0.250 0.293 1
Er5 Er 0.624 0.250 0.957 1
Er6 Er 0.872 0.750 0.541 1
Th1 Th 0.375 0.750 0.377 1
Th2 Th 0.625 0.250 0.623 1
# DOS(E_F) ... 1.45 states/eV/atom
# E_form ... 0.53 kcal/mol of atoms

# PBE Dy6Y2Er3Th, optimized geometry
data_Dy6Y2Er3Th
_space_group_name_H-M_alt 'P 1'
_space_group_IT_number 1
_space_group_name_Hall 'P 1'
_cell_length_a 6.137
_cell_length_b 6.137
_cell_length_c 11.751
_cell_angle_alpha 94.99
_cell_angle_beta 94.99
_cell_angle_gamma 119.96
loop_
_atom_site_label
_atom_site_type_symbol
_atom_site_fract_x
_atom_site_fract_y
_atom_site_fract_z
_atom_site_occupancy
Dy1 Dy 0.085 0.414 0.751 1
Dy2 Dy 0.245 0.245 0.249 1
Dy3 Dy 0.414 0.085 0.751 1
Dy4 Dy 0.586 0.915 0.249 1
Dy5 Dy 0.755 0.755 0.751 1
Dy6 Dy 0.915 0.586 0.249 1
Y1 Y 0.333 0.667 0.500 1
Y2 Y 0.667 0.333 0.500 1
Er1 Er 0.167 0.833 0.000 1
Er2 Er 0.500 0.500 0.000 1
Er3 Er 0.833 0.167 0.000 1
Th1 Th 0.000 0.000 0.500 1
# DOS(E_F) ... 1.34 states/eV/atom
# E_form ... 0.64 kcal/mol of atoms

# PBE Dy2Y6ErTh, optimized geometry
data_Dy2Y6ErTh
_space_group_name_H-M_alt 'P 1'
_space_group_IT_number 1
_space_group_name_Hall 'P 1'
_cell_length_a 8.800
_cell_length_b 8.800
_cell_length_c 9.431
_cell_angle_alpha 93.20
_cell_angle_beta 93.20
_cell_angle_gamma 116.58
loop_
_atom_site_label
_atom_site_type_symbol
_atom_site_fract_x
_atom_site_fract_y
_atom_site_fract_z
_atom_site_occupancy
Dy1 Dy 0.199 0.299 0.446 1
Dy2 Dy 0.299 0.199 0.946 1
Dy3 Dy 0.701 0.801 0.054 1
Dy4 Dy 0.801 0.701 0.554 1
Y1 Y 0.016 0.791 0.889 1
Y2 Y 0.069 0.511 0.685 1
Y3 Y 0.209 0.984 0.611 1
Y4 Y 0.264 0.619 0.058 1
Y5 Y 0.381 0.736 0.442 1
Y6 Y 0.489 0.931 0.815 1
Y7 Y 0.511 0.069 0.185 1
Y8 Y 0.619 0.264 0.558 1
Y9 Y 0.736 0.381 0.942 1
Y10 Y 0.791 0.016 0.389 1
Y11 Y 0.931 0.489 0.315 1
Y12 Y 0.984 0.209 0.111 1
Er1 Er 0.089 0.911 0.250 1
Er2 Er 0.911 0.089 0.750 1
Th1 Th 0.468 0.532 0.750 1
Th2 Th 0.532 0.468 0.250 1
# DOS(E_F) ... 1.50 states/eV/atom
# E_form ... 3.45 kcal/mol of atoms

# PBE DyYEr2Th, optimized geometry
data_DyYEr2Th
_space_group_name_H-M_alt 'P 1'
_space_group_IT_number 1
_space_group_name_Hall 'P 1'
_cell_length_a 8.421
_cell_length_b 6.364
_cell_length_c 6.286
_cell_angle_alpha 90.00
_cell_angle_beta 97.11
_cell_angle_gamma 90.00
loop_
_atom_site_label
_atom_site_type_symbol
_atom_site_fract_x
_atom_site_fract_y
_atom_site_fract_z
_atom_site_occupancy
Dy1 Dy 0.000 0.000 0.000 1
Dy2 Dy 0.000 0.000 0.500 1
Y1 Y 0.500 0.183 0.250 1
Y2 Y 0.500 0.817 0.750 1
Er1 Er 0.312 0.303 0.713 1
Er2 Er 0.312 0.697 0.213 1
Er3 Er 0.688 0.303 0.787 1
Er4 Er 0.688 0.697 0.287 1
Th1 Th 0.000 0.445 0.250 1
Th2 Th 0.000 0.555 0.750 1
# DOS(E_F) ... 1.28 states/eV/atom
# E_form ... 7.56 kcal/mol of atoms

# PBE Dy2Y6Er3Th, optimized geometry
data_Dy2Y6Er3Th
_space_group_name_H-M_alt 'P 1'
_space_group_IT_number 1
_space_group_name_Hall 'P 1'
_cell_length_a 6.157
_cell_length_b 6.157
_cell_length_c 11.780
_cell_angle_alpha 95.00
_cell_angle_beta 95.00
_cell_angle_gamma 119.96
loop_
_atom_site_label
_atom_site_type_symbol
_atom_site_fract_x
_atom_site_fract_y
_atom_site_fract_z
_atom_site_occupancy
Dy1 Dy 0.167 0.833 0.000 1
Dy2 Dy 0.833 0.167 0.000 1
Y1 Y 0.085 0.416 0.750 1
Y2 Y 0.254 0.254 0.250 1
Y3 Y 0.416 0.085 0.750 1
Y4 Y 0.584 0.915 0.250 1
Y5 Y 0.746 0.746 0.750 1
Y6 Y 0.915 0.584 0.250 1
Er1 Er 0.000 0.000 0.500 1
Er2 Er 0.333 0.667 0.500 1
Er3 Er 0.667 0.333 0.500 1
Th1 Th 0.500 0.500 0.000 1
# DOS(E_F) ... 1.43 states/eV/atom
# E_form ... 0.67 kcal/mol of atoms